DyPaHgAu | GGA-PBE | relaxed

Magnetic moment ... 1.58 μB per cell
Energy of formation ... -226 meV/atom
Total energy ... -4.65 eV per atom

Cell: 5.1889 5.1889 5.1889 Å, 60.00 60.00 60.00°
With the nearest neighbours (Å) after each atom.
Atoms (fractional coordinates):
Dy 0.0000 0.0000 0.0000  4 Hg 3.18, 4 Au 3.18
Pa 0.5000 0.5000 0.5000  4 Hg 3.18, 4 Au 3.18
Hg 0.7500 0.7500 0.7500  4 Dy 3.18, 4 Pa 3.18
Au 0.2500 0.2500 0.2500  4 Dy 3.18, 4 Pa 3.18

***

DyHgPbAu | GGA-PBE | relaxed

Magnetic moment ... 0.00 μB per cell
Energy of formation ... -418 meV/atom
Total energy ... -3.39 eV per atom

Cell: 5.1560 5.1560 5.1560 Å, 60.00 60.00 60.00°
With the nearest neighbours (Å) after each atom.
Atoms (fractional coordinates):
Dy 0.0000 0.0000 0.0000  4 Hg 3.16, 4 Au 3.16
Hg 0.7500 0.7500 0.7500  4 Dy 3.16, 4 Pb 3.16
Pb 0.5000 0.5000 0.5000  4 Hg 3.16, 4 Au 3.16
Au 0.2500 0.2500 0.2500  4 Dy 3.16, 4 Pb 3.16

***

PmDyHgAu | GGA-PBE | relaxed

Magnetic moment ... 0.00 μB per cell
Energy of formation ... -633 meV/atom
Total energy ... -3.87 eV per atom

Cell: 5.2415 5.2415 5.2415 Å, 60.00 60.00 60.00°
With the nearest neighbours (Å) after each atom.
Atoms (fractional coordinates):
Pm 0.0000 0.0000 0.0000  4 Hg 3.21, 4 Au 3.21
Dy 0.5000 0.5000 0.5000  4 Hg 3.21, 4 Au 3.21
Hg 0.7500 0.7500 0.7500  4 Dy 3.21, 4 Pm 3.21
Au 0.2500 0.2500 0.2500  4 Dy 3.21, 4 Pm 3.21

***

What is the formula in the second record?
DyHgPbAu

***

Look up the total energy of the third one.
-3.87 eV per atom